1.
Below is a relaxed structure of Ac2CePr3Te6, with properties calculated at the PBE level.

Output
- Size of the total moment: 0.112 μB per atom
- Formation energy without anion corrections: -1.442 eV per atom
- Volume: 34.3 Å³/atom
- N(E_F): 13.1 states/eV/cell

Unit cell a=4.5726 b=9.2502 c=10.2663 alpha=102.90 beta=102.87 gamma=90.00
Atoms (fractional coordinates):
Ac (0.8353, 0.6680, 0.6707)
Ac (0.1647, 0.3320, 0.3293)
Ce (0.5000, 0.0000, 0.0000)
Pr (0.5000, 0.5000, 0.0000)
Pr (0.8299, 0.1621, 0.6598)
Pr (0.1701, 0.8379, 0.3402)
Te (0.3356, 0.9246, 0.6712)
Te (0.6648, 0.5915, 0.3296)
Te (0.6644, 0.0754, 0.3288)
Te (0.9952, 0.2461, 0.9904)
Te (0.0048, 0.7539, 0.0096)
Te (0.3352, 0.4085, 0.6704)



2.
Below is a relaxed structure of Li3P2Pd4, with properties calculated at the PBE level.

Output
- Size of the total moment: 0.000 μB per atom
- Volume: 14.0 Å³/atom
- N(E_F): 2.7 states/eV/cell
- Energy of formation from the pure elements: -584 meV per atom

Unit cell a=4.3365 b=4.9495 c=8.1424 alpha=122.69 beta=90.00 gamma=115.98
Atoms (fractional coordinates):
Li (0.6603, 0.3207, 0.6713)
Li (0.0000, 0.0000, 0.0000)
Li (0.3397, 0.6793, 0.3287)
P (0.5923, 0.1847, 0.2750)
P (0.4077, 0.8153, 0.7250)
Pd (0.6959, 0.3918, 0.0678)
Pd (0.3041, 0.6082, 0.9322)
Pd (0.9151, 0.8303, 0.6049)
Pd (0.0849, 0.1697, 0.3951)



3.
Below is a relaxed structure of LuGaPt, with properties calculated at the PBE level.

Output
- Size of the total moment: 0.000 μB per atom
- Volume: 21.8 Å³/atom
- N(E_F): 3.6 states/eV/cell
- Energy of formation from the pure elements: -931 meV per atom

Unit cell a=4.5200 b=4.5200 c=4.5200 alpha=60.00 beta=60.00 gamma=60.00
Atoms (fractional coordinates):
Lu (0.5000, 0.5000, 0.5000)
Ga (0.0000, 0.0000, 0.0000)
Pt (0.2500, 0.2500, 0.2500)



4.
Below is a relaxed structure of VTe, with properties calculated at the PBE level.

Output
- Size of the total moment: 0.124 μB per atom
- Formation energy without anion corrections: -0.122 eV per atom
- Volume: 25.1 Å³/atom
- N(E_F): 8.1 states/eV/cell

Unit cell a=8.0499 b=3.3975 c=8.4047 alpha=90.00 beta=119.04 gamma=90.00
Atoms (fractional coordinates):
Te (0.7600, 0.0000, 0.4645)
Te (0.2400, 0.0000, 0.5355)
Te (0.7600, 0.5000, 0.9645)
Te (0.2400, 0.5000, 0.0355)
V (0.9405, 0.0000, 0.8309)
V (0.0595, 0.0000, 0.1691)
V (0.9405, 0.5000, 0.3309)
V (0.0595, 0.5000, 0.6691)



5.
Below is a relaxed structure of YPtAu2, with properties calculated at the PBE level.

Output
- Size of the total moment: 0.000 μB per atom
- Volume: 19.5 Å³/atom
- N(E_F): 1.8 states/eV/cell
- Energy of formation from the pure elements: -671 meV per atom

Unit cell a=4.1619 b=4.1619 c=4.5058 alpha=90.00 beta=90.00 gamma=90.00
Atoms (fractional coordinates):
Au (0.0000, 0.0000, 0.0000)
Au (0.5000, 0.5000, 0.0000)
Pt (0.5000, 0.0000, 0.5000)
Y (0.0000, 0.5000, 0.5000)



6.
Below is a relaxed structure of ZrReGeTe2, with properties calculated at the PBE level.

Output
- Size of the total moment: 0.593 μB per atom
- Formation energy without anion corrections: 1.468 eV per atom
- Volume: 27.9 Å³/atom
- N(E_F): 3.4 states/eV/cell

Unit cell a=5.2368 b=5.0953 c=5.2368 alpha=90.00 beta=90.00 gamma=90.00
Atoms (fractional coordinates):
Re (0.5000, 0.5000, 0.5000)
Ge (0.0000, 0.0000, 0.0000)
Te (0.0000, 0.0000, 0.5000)
Te (0.5000, 0.0000, 0.0000)
Zr (0.0000, 0.5000, 0.0000)



7.
Below is a relaxed structure of KLaF2, with properties calculated at the PBE level.

Output
- Size of the total moment: 0.000 μB per atom
- Formation energy without anion corrections: -2.473 eV per atom
- Volume: 32.9 Å³/atom
- N(E_F): 6.2 states/eV/cell

Unit cell a=6.3651 b=6.3651 c=7.9085 alpha=66.27 beta=66.27 gamma=90.00
Atoms (fractional coordinates):
K (0.5000, 0.5000, 0.0000)
K (0.2500, 0.7500, 0.5000)
F (0.7923, 0.1250, 0.2500)
F (0.9577, 0.6250, 0.2500)
F (0.3750, 0.2077, 0.7500)
F (0.8750, 0.0423, 0.7500)
La (0.0000, 0.0000, 0.0000)
La (0.7500, 0.2500, 0.5000)



8.
Below is a relaxed structure of CeNdHg, with properties calculated at the PBE level.

Output
- Size of the total moment: 0.417 μB per atom
- Volume: 30.2 Å³/atom
- N(E_F): 7.6 states/eV/cell
- Energy of formation from the pure elements: -190 meV per atom

Unit cell a=3.7363 b=3.7363 c=7.0156 alpha=105.44 beta=105.44 gamma=90.00
Atoms (fractional coordinates):
Nd (0.0137, 0.0137, 0.0273)
Hg (0.6664, 0.6664, 0.3327)
Ce (0.3200, 0.3200, 0.6400)



9.
Below is a relaxed structure of TbSm2Dy2Mg5, with properties calculated at the PBE level.

Output
- Size of the total moment: 0.000 μB per atom
- Volume: 28.6 Å³/atom
- N(E_F): 13.9 states/eV/cell
- Energy of formation from the pure elements: 48 meV per atom

Unit cell a=5.0879 b=10.6108 c=10.6108 alpha=90.00 beta=90.00 gamma=90.00
Atoms (fractional coordinates):
Tb (0.0000, 0.0000, 0.0000)
Tb (0.0000, 0.5000, 0.5000)
Sm (0.0000, 0.6773, 0.1773)
Sm (0.0000, 0.3227, 0.8227)
Sm (0.0000, 0.1773, 0.3227)
Sm (0.0000, 0.8227, 0.6773)
Dy (0.0000, 0.1199, 0.6199)
Dy (0.0000, 0.8801, 0.3801)
Dy (0.0000, 0.6199, 0.8801)
Dy (0.0000, 0.3801, 0.1199)
Mg (0.5000, 0.1976, 0.0701)
Mg (0.5000, 0.8024, 0.9299)
Mg (0.5000, 0.0701, 0.8024)
Mg (0.5000, 0.6976, 0.4299)
Mg (0.5000, 0.9299, 0.1976)
Mg (0.5000, 0.3024, 0.5701)
Mg (0.5000, 0.5701, 0.6976)
Mg (0.5000, 0.4299, 0.3024)
Mg (0.5000, 0.5000, 0.0000)
Mg (0.5000, 0.0000, 0.5000)



10.
Below is a relaxed structure of CaZnAu2, with properties calculated at the PBE level.

Output
- Size of the total moment: 0.000 μB per atom
- Volume: 20.1 Å³/atom
- N(E_F): 1.1 states/eV/cell
- Energy of formation from the pure elements: -508 meV per atom

Unit cell a=3.4222 b=3.4234 c=6.8556 alpha=90.00 beta=90.00 gamma=90.00
Atoms (fractional coordinates):
Zn (0.5000, 0.5000, 0.7500)
Au (0.0000, 0.0000, 0.9635)
Au (0.0000, 0.0000, 0.5365)
Ca (0.5000, 0.5000, 0.2500)



11.
Below is a relaxed structure of Ca3NbTe, with properties calculated at the PBE level.

Output
- Size of the total moment: 1.003 μB per atom
- Formation energy without anion corrections: 0.366 eV per atom
- Volume: 39.7 Å³/atom
- N(E_F): 4.8 states/eV/cell

Unit cell a=5.8352 b=5.8352 c=5.8352 alpha=90.00 beta=90.00 gamma=90.00
Atoms (fractional coordinates):
Nb (0.5000, 0.5000, 0.5000)
Te (0.0000, 0.0000, 0.0000)
Ca (0.0000, 0.5000, 0.0000)
Ca (0.0000, 0.0000, 0.5000)
Ca (0.5000, 0.0000, 0.0000)



12.
Below is a relaxed structure of Tb2Ge6Rh9, with properties calculated at the PBE level.

Output
- Size of the total moment: 0.000 μB per atom
- Volume: 18.2 Å³/atom
- N(E_F): 6.2 states/eV/cell
- Energy of formation from the pure elements: -622 meV per atom

Unit cell a=5.6532 b=5.6532 c=11.1817 alpha=90.00 beta=90.00 gamma=120.00
Atoms (fractional coordinates):
Tb (0.0000, 0.0000, 0.7002)
Tb (0.0000, 0.0000, 0.2998)
Ge (0.3333, 0.6667, 0.0000)
Ge (0.6667, 0.3333, 0.0000)
Ge (0.3333, 0.6667, 0.6653)
Ge (0.6667, 0.3333, 0.6653)
Ge (0.6667, 0.3333, 0.3347)
Ge (0.3333, 0.6667, 0.3347)
Rh (0.5000, 0.0000, 0.8316)
Rh (0.0000, 0.5000, 0.8316)
Rh (0.5000, 0.5000, 0.8316)
Rh (0.5000, 0.0000, 0.1684)
Rh (0.0000, 0.5000, 0.1684)
Rh (0.5000, 0.5000, 0.1684)
Rh (0.5000, 0.0000, 0.5000)
Rh (0.0000, 0.5000, 0.5000)
Rh (0.5000, 0.5000, 0.5000)